Mn2FePd6: relaxed, PBE-GGA.

a = 4.0318 Å, b = 5.8850 Å, c = 6.3559 Å
α = 83.76°, β = 71.51°, γ = 69.97°
Last column: magnetic moment on the atom in μB.
Atoms (fractional coordinates):
Mn (0.3341, 0.5000, 0.8318)  3.79
Mn (0.6659, 0.5000, 0.1682)  3.79
Fe (0.0000, 0.5000, 0.5000)  3.19
Pd (0.9930, 0.1828, 0.8312)  0.28
Pd (0.3242, 0.1828, 0.1688)  0.28
Pd (0.6758, 0.8172, 0.8312)  0.28
Pd (0.3428, 0.8143, 0.5000)  0.29
Pd (0.6572, 0.1857, 0.5000)  0.29
Pd (0.0070, 0.8172, 0.1688)  0.28

Output
formation enthalpy at 0 K: -0.1462 eV per atom

MnFePd5: relaxed, PBE-GGA.

a = 6.9961 Å, b = 6.9961 Å, c = 4.7965 Å
α = 89.99°, β = 89.99°, γ = 114.57°
Last column: magnetic moment on the atom in μB.
Atoms (fractional coordinates):
Mn (0.0000, 0.0000, 0.0000)  3.51
Mn (0.0000, 0.0000, 0.5000)  3.51
Fe (0.5905, 0.4095, 0.2500)  3.31
Fe (0.4095, 0.5905, 0.7500)  3.31
Pd (0.6057, 0.7694, 0.2502)  0.32
Pd (0.0113, 0.3619, 0.7499)  0.28
Pd (0.7694, 0.6057, 0.7502)  0.32
Pd (0.7989, 0.2011, 0.2500)  0.31
Pd (0.6381, 0.9887, 0.7501)  0.28
Pd (0.3619, 0.0113, 0.2499)  0.28
Pd (0.2011, 0.7989, 0.7500)  0.31
Pd (0.2306, 0.3943, 0.2498)  0.32
Pd (0.9887, 0.6381, 0.2501)  0.28
Pd (0.3943, 0.2306, 0.7498)  0.32

Output
excess energy over the best structure of this formula in the dataset: 19.0 meV per atom
formation enthalpy at 0 K: -0.0102 eV per atom

MnFe2Pd7: relaxed, PBE-GGA.

a = 4.2224 Å, b = 7.1513 Å, c = 7.1513 Å
α = 119.29°, β = 90.00°, γ = 90.00°
Last column: magnetic moment on the atom in μB.
Atoms (fractional coordinates):
Mn (0.0000, 0.0000, 0.0000)  4.08
Fe (0.5000, 0.6987, 0.3013)  3.19
Fe (0.5000, 0.3013, 0.6987)  3.19
Pd (0.0000, 0.7891, 0.2109)  0.40
Pd (0.0000, 0.2109, 0.7891)  0.40
Pd (0.5000, 0.0738, 0.3005)  0.27
Pd (0.5000, 0.9262, 0.6995)  0.27
Pd (0.5000, 0.3005, 0.0738)  0.27
Pd (0.5000, 0.6995, 0.9262)  0.27
Pd (0.5000, 0.5000, 0.5000)  0.30

Output
formation enthalpy at 0 K: 0.4066 eV per atom

Mn2FePd: relaxed, PBE-GGA.

a = 3.5357 Å, b = 3.5357 Å, c = 8.8960 Å
α = 78.54°, β = 78.54°, γ = 90.00°
Last column: magnetic moment on the atom in μB.
Atoms (fractional coordinates):
Mn (0.5563, 0.1250, 0.2500)  -0.03
Mn (0.1937, 0.6250, 0.2500)  -0.03
Mn (0.3750, 0.4437, 0.7500)  0.03
Mn (0.8750, 0.8063, 0.7500)  0.02
Fe (0.5000, 0.5000, 0.0000)  2.27
Fe (0.2500, 0.7500, 0.5000)  2.27
Pd (0.0000, 0.0000, 0.0000)  0.07
Pd (0.7500, 0.2500, 0.5000)  0.07

Output
excess energy over the best structure of this formula in the dataset: 557.0 meV per atom
formation enthalpy at 0 K: 0.6021 eV per atom

MnFe3Pd6: relaxed, PBE-GGA.

a = 4.4497 Å, b = 7.2460 Å, c = 9.8014 Å
α = 113.59°, β = 90.00°, γ = 90.00°
Last column: magnetic moment on the atom in μB.
Atoms (fractional coordinates):
Mn (0.2500, 0.9670, 0.5781)  3.79
Mn (0.7500, 0.0330, 0.4219)  3.79
Fe (0.2500, 0.5492, 0.3640)  3.09
Fe (0.7500, 0.4508, 0.6360)  3.09
Fe (0.2500, 0.3832, 0.7770)  2.99
Fe (0.7500, 0.6168, 0.2230)  2.99
Fe (0.2500, 0.7605, 0.9637)  3.14
Fe (0.7500, 0.2395, 0.0363)  3.14
Pd (0.2500, 0.4689, 0.0713)  0.34
Pd (0.7500, 0.5311, 0.9287)  0.34
Pd (0.2500, 0.1625, 0.1705)  0.27
Pd (0.7500, 0.8375, 0.8295)  0.27
Pd (0.2500, 0.6603, 0.6650)  0.32
Pd (0.7500, 0.3397, 0.3350)  0.32
Pd (0.2500, 0.2621, 0.4811)  0.32
Pd (0.7500, 0.7379, 0.5189)  0.32
Pd (0.2500, 0.8541, 0.2781)  0.31
Pd (0.7500, 0.1459, 0.7219)  0.31
Pd (0.2500, 0.0757, 0.8702)  0.27
Pd (0.7500, 0.9243, 0.1298)  0.27

Output
formation enthalpy at 0 K: -0.0793 eV per atom

Mn5FePd6: relaxed, PBE-GGA.

a = 4.1326 Å, b = 7.4209 Å, c = 7.4209 Å
α = 113.60°, β = 106.23°, γ = 106.23°
Last column: magnetic moment on the atom in μB.
Atoms (fractional coordinates):
Mn (0.5000, 0.1616, 0.8384)  3.87
Mn (0.0000, 0.3305, 0.6695)  3.90
Mn (0.5000, 0.5000, 0.5000)  3.92
Mn (0.0000, 0.6695, 0.3305)  3.90
Mn (0.5000, 0.8384, 0.1616)  3.87
Fe (0.0000, 0.0000, 0.0000)  3.11
Pd (0.2515, 0.0859, 0.4173)  0.35
Pd (0.7485, 0.5827, 0.9141)  0.35
Pd (0.7543, 0.2546, 0.2546)  0.35
Pd (0.2457, 0.7454, 0.7454)  0.35
Pd (0.2515, 0.4173, 0.0859)  0.35
Pd (0.7485, 0.9141, 0.5827)  0.35

Output
formation enthalpy at 0 K: -0.1393 eV per atom

Mn2FePd: relaxed, PBE-GGA.

a = 3.7295 Å, b = 3.6641 Å, c = 3.6641 Å
α = 90.00°, β = 90.00°, γ = 90.00°
Last column: magnetic moment on the atom in μB.
Atoms (fractional coordinates):
Mn (0.0000, 0.0000, 0.5000)  1.87
Mn (0.0000, 0.5000, 0.0000)  1.87
Fe (0.5000, 0.0000, 0.0000)  -2.57
Pd (0.5000, 0.5000, 0.5000)  -0.02

Output
excess energy over the best structure of this formula in the dataset: 93.5 meV per atom
formation enthalpy at 0 K: 0.1385 eV per atom

MnFePd3: relaxed, PBE-GGA.

a = 7.9649 Å, b = 5.3614 Å, c = 5.3614 Å
α = 45.01°, β = 90.00°, γ = 90.00°
Last column: magnetic moment on the atom in μB.
Atoms (fractional coordinates):
Mn (0.4196, 0.3571, 0.3573)  3.96
Mn (0.9196, 0.3573, 0.3571)  3.96
Fe (0.4197, 0.6918, 0.6921)  3.11
Fe (0.9197, 0.6921, 0.6918)  3.11
Pd (0.1698, 0.8443, 0.8443)  0.38
Pd (0.6698, 0.8443, 0.8443)  0.38
Pd (0.9198, 0.0474, 0.0472)  0.37
Pd (0.4198, 0.0472, 0.0474)  0.37
Pd (0.6697, 0.5383, 0.5382)  0.37
Pd (0.1697, 0.5382, 0.5383)  0.37

Output
excess energy over the best structure of this formula in the dataset: 255.9 meV per atom
formation enthalpy at 0 K: 0.1329 eV per atom

MnFe2PdRh: relaxed, PBE-GGA.

a = 4.3364 Å, b = 4.9351 Å, c = 4.3364 Å
α = 90.00°, β = 90.00°, γ = 90.00°
Last column: magnetic moment on the atom in μB.
Atoms (fractional coordinates):
Mn (0.5000, 0.5000, 0.5000)  4.28
Rh (0.0000, 0.0000, 0.0000)  0.02
Fe (0.0000, 0.0000, 0.5000)  -0.16
Fe (0.5000, 0.0000, 0.0000)  -0.14
Pd (0.0000, 0.5000, 0.0000)  0.05

Output
formation enthalpy at 0 K: 1.4916 eV per atom

MnFeSiPd: relaxed, PBE-GGA.

a = 4.1622 Å, b = 4.1622 Å, c = 4.1622 Å
α = 60.00°, β = 60.00°, γ = 60.00°
Last column: magnetic moment on the atom in μB.
Atoms (fractional coordinates):
Si (0.7500, 0.7500, 0.7500)  -0.03
Mn (0.2500, 0.2500, 0.2500)  3.25
Fe (0.0000, 0.0000, 0.0000)  1.43
Pd (0.5000, 0.5000, 0.5000)  0.27

Output
ΔE_f (raw): -241 meV per atom

TaMnFePd2: relaxed, PBE-GGA.

a = 4.8161 Å, b = 4.3189 Å, c = 4.8161 Å
α = 90.00°, β = 90.00°, γ = 90.00°
Last column: magnetic moment on the atom in μB.
Atoms (fractional coordinates):
Mn (0.5000, 0.5000, 0.5000)  -0.31
Fe (0.0000, 0.5000, 0.0000)  -0.30
Pd (0.0000, 0.0000, 0.5000)  0.00
Pd (0.5000, 0.0000, 0.0000)  -0.01
Ta (0.0000, 0.0000, 0.0000)  0.09

Output
formation enthalpy at 0 K: 1.6588 eV per atom

Mn2FeTePd: relaxed, PBE-GGA.

a = 4.4079 Å, b = 4.7607 Å, c = 4.4079 Å
α = 90.00°, β = 90.00°, γ = 90.00°
Last column: magnetic moment on the atom in μB.
Atoms (fractional coordinates):
Mn (0.0000, 0.0000, 0.5000)  3.36
Mn (0.5000, 0.0000, 0.0000)  3.31
Te (0.5000, 0.5000, 0.5000)  -0.01
Fe (0.0000, 0.0000, 0.0000)  -1.48
Pd (0.0000, 0.5000, 0.0000)  -0.13

Output
ΔE_f (raw): 714 meV per atom